[1]
# La2ZrNi3Pt12 | the Alexandria database | PBE-GGA | relaxed
# Size of the total moment, μB/f.u.: 2.98
# Crystal system: trigonal
# D(E_F), states/eV per atom: 0.82
# Formation energy from the elements, eV per atom: -0.1526
data_La2ZrNi3Pt12
_space_group_name_H-M_alt 'R -3 m'
_space_group_IT_number 166
_space_group_name_Hall '-R 3 2"'
_cell_length_a 8.0964
_cell_length_b 8.0964
_cell_length_c 19.5231
_cell_angle_alpha 90.00
_cell_angle_beta 90.00
_cell_angle_gamma 120.00
loop_
_atom_site_label
_atom_site_type_symbol
_atom_site_fract_x
_atom_site_fract_y
_atom_site_fract_z
La1 La 0.0000 0.0000 0.1126
Zr1 Zr 0.0000 0.0000 0.5000
Ni1 Ni 0.0000 0.5000 0.0000
Pt1 Pt 0.0069 0.5034 0.3715
Pt2 Pt 0.0210 0.5105 0.8748


[2]
# ZrVNi | the Alexandria database | PBE-GGA | relaxed
# Size of the total moment, μB/f.u.: 0.00
# Crystal system: orthorhombic
# D(E_F), states/eV per atom: 1.24
# Excess energy over the best structure of this formula in the dataset, eV per atom: 0.000
# Formation energy from the elements, eV per atom: -0.2414
data_ZrVNi
_space_group_name_H-M_alt 'A m m 2'
_space_group_IT_number 38
_space_group_name_Hall 'A 2 -2'
_cell_length_a 8.391
_cell_length_b 5.079
_cell_length_c 8.687
_cell_angle_alpha 90.00
_cell_angle_beta 90.00
_cell_angle_gamma 90.00
loop_
_atom_site_label
_atom_site_type_symbol
_atom_site_fract_x
_atom_site_fract_y
_atom_site_fract_z
Zr1 Zr 0.182 0.000 0.000
Zr2 Zr 0.305 0.000 0.665
V1 V 0.000 0.000 0.475
V2 V 0.500 0.000 0.154
V3 V 0.500 0.246 0.914
Ni1 Ni 0.000 0.246 0.730
Ni2 Ni 0.246 0.000 0.329


[3]
# FeNiRhW | the Alexandria database | PBE-GGA | relaxed
# Size of the total moment, μB/f.u.: 1.32
# Crystal system: cubic
# D(E_F), states/eV per atom: 0.96
# Formation energy from the elements, eV per atom: 0.0804
data_FeNiRhW
_space_group_name_H-M_alt 'F -4 3 m'
_space_group_IT_number 216
_space_group_name_Hall 'F -4 2 3'
_cell_length_a 5.956
_cell_length_b 5.956
_cell_length_c 5.956
_cell_angle_alpha 90.00
_cell_angle_beta 90.00
_cell_angle_gamma 90.00
loop_
_atom_site_label
_atom_site_type_symbol
_atom_site_fract_x
_atom_site_fract_y
_atom_site_fract_z
Fe1 Fe 0.000 0.000 0.000
Ni1 Ni 0.250 0.250 0.250
Rh1 Rh 0.000 0.000 0.500
W1 W 0.250 0.250 0.750


[4]
# Sr2CeTe4 | the Alexandria database | PBE-GGA | relaxed
# Size of the total moment, μB/f.u.: 0.13
# Formation energy from raw total energies, meV/atom: -1453
# Crystal system: tetragonal
# D(E_F), states/eV per atom: 0.24
data_Sr2CeTe4
_space_group_name_H-M_alt 'I -4 2 d'
_space_group_IT_number 122
_space_group_name_Hall 'I -4 2bw'
_cell_length_a 9.719
_cell_length_b 9.719
_cell_length_c 9.862
_cell_angle_alpha 90.00
_cell_angle_beta 90.00
_cell_angle_gamma 90.00
loop_
_atom_site_label
_atom_site_type_symbol
_atom_site_fract_x
_atom_site_fract_y
_atom_site_fract_z
Sr1 Sr 0.117 0.750 0.125
Ce1 Ce 0.000 0.000 0.500
Te1 Te 0.069 0.683 0.459


[5]
# Er8BTe3Se3 | the Alexandria database | PBE-GGA | relaxed
# Size of the total moment, μB/f.u.: 0.00
# Formation energy from raw total energies, meV/atom: -1225
# Crystal system: trigonal
# D(E_F), states/eV per atom: 0.59
data_Er8BTe3Se3
_space_group_name_H-M_alt 'R -3 m'
_space_group_IT_number 166
_space_group_name_Hall '-R 3 2"'
_cell_length_a 8.1657
_cell_length_b 8.1657
_cell_length_c 21.0473
_cell_angle_alpha 90.00
_cell_angle_beta 90.00
_cell_angle_gamma 120.00
loop_
_atom_site_label
_atom_site_type_symbol
_atom_site_fract_x
_atom_site_fract_y
_atom_site_fract_z
Er1 Er 0.0000 0.0000 0.2383
Er2 Er 0.0355 0.5178 0.2338
B1 B 0.0000 0.0000 0.5000
Te1 Te 0.0000 0.5000 0.0000
Se1 Se 0.0000 0.5000 0.5000


[6]
# Cs6TlPb3 | the Alexandria database | PBE-GGA | relaxed
# Size of the total moment, μB/f.u.: 0.00
# Crystal system: monoclinic
# D(E_F), states/eV per atom: 0.71
# Formation energy from the elements, eV per atom: -0.0650
data_Cs6TlPb3
_space_group_name_H-M_alt 'P 1 21/c 1'
_space_group_IT_number 14
_space_group_name_Hall '-P 2ybc'
_cell_length_a 11.828
_cell_length_b 7.550
_cell_length_c 15.977
_cell_angle_alpha 90.00
_cell_angle_beta 132.25
_cell_angle_gamma 90.00
loop_
_atom_site_label
_atom_site_type_symbol
_atom_site_fract_x
_atom_site_fract_y
_atom_site_fract_z
Cs1 Cs 0.095 0.202 0.258
Cs2 Cs 0.238 0.058 0.078
Cs3 Cs 0.399 0.570 0.075
Tl1 Tl 0.500 0.000 0.000
Pb1 Pb 0.000 0.000 0.500
Pb2 Pb 0.279 0.660 0.265


[7]
# LiZrAs2 | the Alexandria database | PBE-GGA | relaxed
# Size of the total moment, μB/f.u.: 0.00
# Crystal system: orthorhombic
# D(E_F), states/eV per atom: 0.30
# Excess energy over the best structure of this formula in the dataset, eV per atom: 0.197
# Formation energy from the elements, eV per atom: -0.6137
data_LiZrAs2
_space_group_name_H-M_alt 'A m m 2'
_space_group_IT_number 38
_space_group_name_Hall 'A 2 -2'
_cell_length_a 4.810
_cell_length_b 2.942
_cell_length_c 10.585
_cell_angle_alpha 90.00
_cell_angle_beta 90.00
_cell_angle_gamma 90.00
loop_
_atom_site_label
_atom_site_type_symbol
_atom_site_fract_x
_atom_site_fract_y
_atom_site_fract_z
Li1 Li 0.000 0.000 0.000
Zr1 Zr 0.500 0.000 0.208
As1 As 0.000 0.000 0.748
As2 As 0.500 0.000 0.480


[8]
# HoZrZnRu | the Alexandria database | PBE-GGA | relaxed
# Size of the total moment, μB/f.u.: 0.00
# Crystal system: cubic
# D(E_F), states/eV per atom: 0.66
# Formation energy from the elements, eV per atom: -0.3529
data_HoZrZnRu
_space_group_name_H-M_alt 'F -4 3 m'
_space_group_IT_number 216
_space_group_name_Hall 'F -4 2 3'
_cell_length_a 6.775
_cell_length_b 6.775
_cell_length_c 6.775
_cell_angle_alpha 90.00
_cell_angle_beta 90.00
_cell_angle_gamma 90.00
loop_
_atom_site_label
_atom_site_type_symbol
_atom_site_fract_x
_atom_site_fract_y
_atom_site_fract_z
Ho1 Ho 0.000 0.000 0.000
Zr1 Zr 0.000 0.000 0.500
Zn1 Zn 0.250 0.250 0.750
Ru1 Ru 0.250 0.250 0.250


[9]
# BaScCo2 | the Alexandria database | PBE-GGA | relaxed
# Size of the total moment, μB/f.u.: 0.93
# Crystal system: trigonal
# D(E_F), states/eV per atom: 1.35
# Excess energy over the best structure of this formula in the dataset, eV per atom: 0.000
# Formation energy from the elements, eV per atom: 0.0822
data_BaScCo2
_space_group_name_H-M_alt 'R 3 m'
_space_group_IT_number 160
_space_group_name_Hall 'R 3 -2"'
_cell_length_a 3.9633
_cell_length_b 3.9633
_cell_length_c 21.9360
_cell_angle_alpha 90.00
_cell_angle_beta 90.00
_cell_angle_gamma 120.00
loop_
_atom_site_label
_atom_site_type_symbol
_atom_site_fract_x
_atom_site_fract_y
_atom_site_fract_z
Ba1 Ba 0.0000 0.0000 0.0000
Sc1 Sc 0.0000 0.0000 0.1724
Co1 Co 0.0000 0.0000 0.4417
Co2 Co 0.0000 0.0000 0.7751


[10]
# U2CuPd8 | the Alexandria database | PBE-GGA | relaxed
# Size of the total moment, μB/f.u.: 3.63
# Crystal system: orthorhombic
# D(E_F), states/eV per atom: 1.46
# Formation energy from the elements, eV per atom: -0.2956
data_U2CuPd8
_space_group_name_H-M_alt 'I m m m'
_space_group_IT_number 71
_space_group_name_Hall '-I 2 2'
_cell_length_a 4.091
_cell_length_b 7.932
_cell_length_c 11.990
_cell_angle_alpha 90.00
_cell_angle_beta 90.00
_cell_angle_gamma 90.00
loop_
_atom_site_label
_atom_site_type_symbol
_atom_site_fract_x
_atom_site_fract_y
_atom_site_fract_z
U1 U 0.000 0.000 0.154
Cu1 Cu 0.000 0.000 0.500
Pd1 Pd 0.000 0.246 0.342
Pd2 Pd 0.000 0.267 0.000
Pd3 Pd 0.000 0.500 0.180


[11]
# BAu3Se | the Alexandria database | PBE-GGA | relaxed
# Size of the total moment, μB/f.u.: 0.00
# Formation energy from raw total energies, meV/atom: 565
# Crystal system: cubic
# D(E_F), states/eV per atom: 0.99
# Excess energy over the best structure of this formula in the dataset, eV per atom: 0.000
data_BAu3Se
_space_group_name_H-M_alt 'P m -3 m'
_space_group_IT_number 221
_space_group_name_Hall '-P 4 2 3'
_cell_length_a 4.461
_cell_length_b 4.461
_cell_length_c 4.461
_cell_angle_alpha 90.00
_cell_angle_beta 90.00
_cell_angle_gamma 90.00
loop_
_atom_site_label
_atom_site_type_symbol
_atom_site_fract_x
_atom_site_fract_y
_atom_site_fract_z
B1 B 0.000 0.000 0.000
Au1 Au 0.000 0.000 0.500
Se1 Se 0.500 0.500 0.500


[12]
# Y2TaRe | the Alexandria database | PBE-GGA | relaxed
# Size of the total moment, μB/f.u.: 0.00
# Crystal system: monoclinic
# D(E_F), states/eV per atom: 0.97
# Excess energy over the best structure of this formula in the dataset, eV per atom: 0.439
# Formation energy from the elements, eV per atom: 0.4727
data_Y2TaRe
_space_group_name_H-M_alt 'P 1 2/m 1'
_space_group_IT_number 10
_space_group_name_Hall '-P 2y'
_cell_length_a 3.056
_cell_length_b 4.922
_cell_length_c 5.836
_cell_angle_alpha 90.00
_cell_angle_beta 103.29
_cell_angle_gamma 90.00
loop_
_atom_site_label
_atom_site_type_symbol
_atom_site_fract_x
_atom_site_fract_y
_atom_site_fract_z
Y1 Y 0.089 0.000 0.258
Ta1 Ta 0.500 0.500 0.000
Re1 Re 0.500 0.500 0.500


[13]
# Na3Y3SbTe8 | the Alexandria database | PBE-GGA | relaxed
# Size of the total moment, μB/f.u.: 0.00
# Formation energy from raw total energies, meV/atom: -1045
# Crystal system: monoclinic
# D(E_F), states/eV per atom: 0.39
data_Na3Y3SbTe8
_space_group_name_H-M_alt 'C 1 2/m 1'
_space_group_IT_number 12
_space_group_name_Hall '-C 2y'
_cell_length_a 15.211
_cell_length_b 8.770
_cell_length_c 9.183
_cell_angle_alpha 90.00
_cell_angle_beta 123.58
_cell_angle_gamma 90.00
loop_
_atom_site_label
_atom_site_type_symbol
_atom_site_fract_x
_atom_site_fract_y
_atom_site_fract_z
Na1 Na 0.000 0.000 0.000
Na2 Na 0.250 0.250 0.000
Y1 Y 0.000 0.500 0.500
Y2 Y 0.250 0.250 0.500
Sb1 Sb 0.000 0.000 0.500
Te1 Te 0.006 0.247 0.271
Te2 Te 0.241 0.000 0.729
Te3 Te 0.244 0.500 0.733


[14]
# Na3Pr3RhO8 | the Alexandria database | PBE-GGA | relaxed
# Size of the total moment, μB/f.u.: 1.06
# Formation energy from raw total energies, meV/atom: -2164
# Crystal system: trigonal
# D(E_F), states/eV per atom: 0.49
data_Na3Pr3RhO8
_space_group_name_H-M_alt 'R -3 m'
_space_group_IT_number 166
_space_group_name_Hall '-R 3 2"'
_cell_length_a 7.0101
_cell_length_b 7.0101
_cell_length_c 16.7121
_cell_angle_alpha 90.00
_cell_angle_beta 90.00
_cell_angle_gamma 120.00
loop_
_atom_site_label
_atom_site_type_symbol
_atom_site_fract_x
_atom_site_fract_y
_atom_site_fract_z
Na1 Na 0.0000 0.5000 0.0000
Pr1 Pr 0.0000 0.5000 0.5000
Rh1 Rh 0.0000 0.0000 0.5000
O1 O 0.0000 0.0000 0.2402
O2 O 0.0399 0.5200 0.2342


[15]
# Th2AsC | the Alexandria database | PBE-GGA | relaxed
# Size of the total moment, μB/f.u.: 0.00
# Crystal system: trigonal
# D(E_F), states/eV per atom: 0.48
# Formation energy from the elements, eV per atom: -0.8342
data_Th2AsC
_space_group_name_H-M_alt 'R -3 m'
_space_group_IT_number 166
_space_group_name_Hall '-R 3 2"'
_cell_length_a 3.9539
_cell_length_b 3.9539
_cell_length_c 20.4538
_cell_angle_alpha 90.00
_cell_angle_beta 90.00
_cell_angle_gamma 120.00
loop_
_atom_site_label
_atom_site_type_symbol
_atom_site_fract_x
_atom_site_fract_y
_atom_site_fract_z
Th1 Th 0.0000 0.0000 0.2376
As1 As 0.0000 0.0000 0.0000
C1 C 0.0000 0.0000 0.5000


[16]
# CaRhBr | the Alexandria database | PBE-GGA | relaxed
# Size of the total moment, μB/f.u.: 0.32
# Formation energy from raw total energies, meV/atom: -249
# Crystal system: tetragonal
# D(E_F), states/eV per atom: 0.61
# Excess energy over the best structure of this formula in the dataset, eV per atom: 0.762
data_CaRhBr
_space_group_name_H-M_alt 'P 4/n m m'
_space_group_IT_number 129
_cell_length_a 4.915
_cell_length_b 4.915
_cell_length_c 5.800
_cell_angle_alpha 90.00
_cell_angle_beta 90.00
_cell_angle_gamma 90.00
loop_
_space_group_symop_operation_xyz
'x,y,z'
'-x,-y,-z'
'-y+1/2,x,z'
'y+1/2,-x,-z'
'-x+1/2,-y+1/2,z'
'x+1/2,y+1/2,-z'
'y,-x+1/2,z'
'-y,x+1/2,-z'
'x+1/2,-y,-z'
'-x+1/2,y,z'
'-y,-x,-z'
'y,x,z'
'-x,y+1/2,-z'
'x,-y+1/2,z'
'y+1/2,x+1/2,-z'
'-y+1/2,-x+1/2,z'
loop_
_atom_site_label
_atom_site_type_symbol
_atom_site_fract_x
_atom_site_fract_y
_atom_site_fract_z
Ca1 Ca 0.250 0.250 0.172
Rh1 Rh 0.250 0.250 0.722
Br1 Br 0.250 0.750 0.500


[17]
# ThGaRh | the Alexandria database | PBE-GGA | relaxed
# Size of the total moment, μB/f.u.: 0.00
# Crystal system: orthorhombic
# D(E_F), states/eV per atom: 0.51
# Formation energy from the elements, eV per atom: -0.8509
data_ThGaRh
_space_group_name_H-M_alt 'P m m a'
_space_group_IT_number 51
_space_group_name_Hall '-P 2a 2a'
_cell_length_a 13.124
_cell_length_b 3.905
_cell_length_c 7.375
_cell_angle_alpha 90.00
_cell_angle_beta 90.00
_cell_angle_gamma 90.00
loop_
_atom_site_label
_atom_site_type_symbol
_atom_site_fract_x
_atom_site_fract_y
_atom_site_fract_z
Th1 Th 0.045 0.000 0.247
Th2 Th 0.250 0.000 0.865
Ga1 Ga 0.127 0.500 0.572
Ga2 Ga 0.250 0.500 0.213
Rh1 Rh 0.102 0.500 0.936
Rh2 Rh 0.250 0.000 0.455


[18]
# Ca2YSnAu | the Alexandria database | PBE-GGA | relaxed
# Size of the total moment, μB/f.u.: 1.90
# Crystal system: tetragonal
# D(E_F), states/eV per atom: 1.19
# Formation energy from the elements, eV per atom: 0.7569
data_Ca2YSnAu
_space_group_name_H-M_alt 'P 4/m m m'
_space_group_IT_number 123
_space_group_name_Hall '-P 4 2'
_cell_length_a 6.234
_cell_length_b 6.234
_cell_length_c 5.545
_cell_angle_alpha 90.00
_cell_angle_beta 90.00
_cell_angle_gamma 90.00
loop_
_atom_site_label
_atom_site_type_symbol
_atom_site_fract_x
_atom_site_fract_y
_atom_site_fract_z
Ca1 Ca 0.000 0.500 0.000
Y1 Y 0.000 0.000 0.000
Sn1 Sn 0.000 0.000 0.500
Au1 Au 0.500 0.500 0.500


[19]
# K2AlZn3Ge4 | the Alexandria database | PBE-GGA | relaxed
# Size of the total moment, μB/f.u.: 0.00
# Crystal system: tetragonal
# D(E_F), states/eV per atom: 0.18
# Formation energy from the elements, eV per atom: -0.0965
data_K2AlZn3Ge4
_space_group_name_H-M_alt 'P -4 m 2'
_space_group_IT_number 115
_space_group_name_Hall 'P -4 -2'
_cell_length_a 4.361
_cell_length_b 4.361
_cell_length_c 11.230
_cell_angle_alpha 90.00
_cell_angle_beta 90.00
_cell_angle_gamma 90.00
loop_
_atom_site_label
_atom_site_type_symbol
_atom_site_fract_x
_atom_site_fract_y
_atom_site_fract_z
K1 K 0.000 0.500 0.250
Al1 Al 0.000 0.000 0.500
Zn1 Zn 0.000 0.500 0.863
Zn2 Zn 0.500 0.500 0.500
Ge1 Ge 0.000 0.000 0.000
Ge2 Ge 0.000 0.500 0.633
Ge3 Ge 0.500 0.500 0.000


[20]
# MgGaCo | the Alexandria database | PBE-GGA | relaxed
# Size of the total moment, μB/f.u.: 0.00
# Crystal system: orthorhombic
# D(E_F), states/eV per atom: 0.56
# Formation energy from the elements, eV per atom: -0.1774
data_MgGaCo
_space_group_name_H-M_alt 'P m m m'
_space_group_IT_number 47
_space_group_name_Hall '-P 2 2'
_cell_length_a 2.765
_cell_length_b 3.983
_cell_length_c 4.509
_cell_angle_alpha 90.00
_cell_angle_beta 90.00
_cell_angle_gamma 90.00
loop_
_atom_site_label
_atom_site_type_symbol
_atom_site_fract_x
_atom_site_fract_y
_atom_site_fract_z
Mg1 Mg 0.000 0.000 0.000
Ga1 Ga 0.000 0.500 0.500
Co1 Co 0.500 0.000 0.500